Record 1
The following is a PBE calculation of LuPuGe2 after structural relaxation, from Alexandria via LeMat-Bulk.

abc: 3.2790 3.2790 8.0581
angles: 90.00 90.00 90.00
With the nearest neighbours (Å) after each atom.
Sites, in units of the cell vectors:
Pu 0.5000 0.5000 0.0000  8 Ge 3.11, 4 Pu 3.28
Ge 0.0000 0.0000 0.2563  4 Lu 3.04, 4 Pu 3.11, 4 Ge 3.28
Ge 0.0000 0.0000 0.7437  4 Lu 3.04, 4 Pu 3.11, 4 Ge 3.28
Lu 0.5000 0.5000 0.5000  8 Ge 3.04, 4 Lu 3.28

Output
Density of states at the Fermi level (states/eV/atom): 1.957
E (eV/atom): -7.540
Calculated formation energy (meV per atom): -518

***

Record 2
The following is a PBE calculation of Na3Ca2PdO6 after structural relaxation, from Alexandria via LeMat-Bulk.

abc: 5.7389 5.7389 5.8291
angles: 99.43 99.43 120.11
With the nearest neighbours (Å) after each atom.
Sites, in units of the cell vectors:
Ca 0.6679 0.3321 0.0000  6 O 2.34-2.36
Ca 0.3321 0.6679 0.0000  6 O 2.34-2.36
O 0.3681 0.0720 0.2175  1 Pd 2.08
O 0.6319 0.9280 0.7825  1 Pd 2.08
O 0.7732 0.7732 0.2090  1 Pd 2.05
O 0.0720 0.3681 0.2175  1 Pd 2.08
O 0.9280 0.6319 0.7825  1 Pd 2.08
O 0.2268 0.2268 0.7910  1 Pd 2.05
Na 0.5000 0.5000 0.5000  6 O 2.39-2.66
Na 0.1580 0.8420 0.5000  4 O 2.36-2.38
Na 0.8420 0.1580 0.5000  4 O 2.36-2.38
Pd 0.0000 0.0000 0.0000  6 O 2.05-2.08

Output
Density of states at the Fermi level (states/eV/atom): 0.782
E (eV/atom): -5.247

***

Record 3
The following is a PBE calculation of Rb2CdIrO6 after structural relaxation, from Alexandria via LeMat-Bulk.

abc: 5.9821 5.9821 5.9821
angles: 60.00 60.00 60.00
With the nearest neighbours (Å) after each atom.
Sites, in units of the cell vectors:
O 0.7755 0.2245 0.7755  1 Ir 1.90
O 0.2245 0.7755 0.7755  1 Ir 1.90
O 0.7755 0.2245 0.2245  1 Ir 1.90
O 0.2245 0.2245 0.7755  1 Ir 1.90
O 0.2245 0.7755 0.2245  1 Ir 1.90
O 0.7755 0.7755 0.2245  1 Ir 1.90
Cd 0.5000 0.5000 0.5000  6 O 2.33
Rb 0.2500 0.2500 0.2500  12 O 3.00
Rb 0.7500 0.7500 0.7500  12 O 3.00
Ir 0.0000 0.0000 0.0000  6 O 1.90

Output
Density of states at the Fermi level (states/eV/atom): 0.568
E (eV/atom): -5.066

***

Record 4
The following is a PBE calculation of NaNd2Ga after structural relaxation, from Alexandria via LeMat-Bulk.

abc: 3.5981 3.5981 9.3491
angles: 90.00 90.00 90.00
With the nearest neighbours (Å) after each atom.
Sites, in units of the cell vectors:
Na 0.5000 0.5000 0.5000  4 Na 3.60, 8 Nd 3.79
Ga 0.5000 0.5000 0.0000  8 Nd 3.16
Nd 0.0000 0.0000 0.8003  4 Ga 3.16
Nd 0.0000 0.0000 0.1997  4 Ga 3.16

Output
ΔE to the lowest computed polymorph (meV/atom): 0.0
Density of states at the Fermi level (states/eV/atom): 0.989
E (eV/atom): -3.651
Calculated formation energy (meV per atom): -181

***

Record 5
The following is a PBE calculation of TaTe2As after structural relaxation, from Alexandria via LeMat-Bulk.

abc: 4.8062 4.7487 4.7534
angles: 71.04 90.00 90.00
With the nearest neighbours (Å) after each atom.
Sites, in units of the cell vectors:
Te 0.0000 0.9225 0.9233  3 As 2.71-3.00, 2 Ta 2.95
Te 0.5000 0.3030 0.3033  3 Ta 2.87-3.08, 2 As 3.18
Ta 0.5000 0.7015 0.7015  2 As 2.60, 2 Te 2.87
As 0.0000 0.5730 0.5719  2 Ta 2.60, 1 Te 2.71

Output
Density of states at the Fermi level (states/eV/atom): 0.915
E (eV/atom): -5.531

***

Record 6
The following is a PBE calculation of Ba3U2S2N4 after structural relaxation, from Alexandria via LeMat-Bulk.

abc: 4.3814 4.3814 12.8870
angles: 99.79 99.79 90.00
With the nearest neighbours (Å) after each atom.
Sites, in units of the cell vectors:
N 0.4176 0.9176 0.8352  2 U 2.19
N 0.0824 0.5824 0.1648  2 U 2.19
N 0.5824 0.0824 0.1648  2 U 2.19
N 0.9176 0.4176 0.8352  2 U 2.19
Ba 0.8257 0.8257 0.6515  5 S 3.14-3.28, 4 N 3.17
Ba 0.1743 0.1743 0.3485  5 S 3.14-3.28, 4 N 3.17
Ba 0.0000 0.0000 0.0000  8 N 3.01
U 0.5867 0.5867 0.1735  4 N 2.19
U 0.4133 0.4133 0.8265  4 N 2.19
S 0.6945 0.6945 0.3889  1 U 2.70
S 0.3055 0.3055 0.6111  1 U 2.70

Output
Density of states at the Fermi level (states/eV/atom): 0.681
E (eV/atom): -7.735

***

Record 7
The following is a PBE calculation of CaLaDyCd after structural relaxation, from Alexandria via LeMat-Bulk.

abc: 5.6252 5.6252 5.6252
angles: 60.00 60.00 60.00
With the nearest neighbours (Å) after each atom.
Sites, in units of the cell vectors:
Cd 0.7500 0.7500 0.7500  4 La 3.44, 4 Dy 3.44
La 0.0000 0.0000 0.0000  4 Ca 3.44, 4 Cd 3.44
Ca 0.2500 0.2500 0.2500  4 Dy 3.44, 4 La 3.44
Dy 0.5000 0.5000 0.5000  4 Cd 3.44, 4 Ca 3.44

Output
ΔE to the lowest computed polymorph (meV/atom): 113.2
Density of states at the Fermi level (states/eV/atom): 1.329
E (eV/atom): -3.142
Calculated formation energy (meV per atom): -30

***

Record 8
The following is a PBE calculation of GdYTlCu after structural relaxation, from Alexandria via LeMat-Bulk.

abc: 5.2046 5.2046 5.2046
angles: 60.00 60.00 60.00
With the nearest neighbours (Å) after each atom.
Sites, in units of the cell vectors:
Cu 0.5000 0.5000 0.5000  4 Y 3.19, 4 Gd 3.19
Gd 0.2500 0.2500 0.2500  4 Tl 3.19, 4 Cu 3.19
Tl 0.0000 0.0000 0.0000  4 Y 3.19, 4 Gd 3.19
Y 0.7500 0.7500 0.7500  4 Tl 3.19, 4 Cu 3.19

Output
Density of states at the Fermi level (states/eV/atom): 0.980
E (eV/atom): -7.015
Calculated formation energy (meV per atom): -264